1.
# Ga2HgTe (PBE-GGA, optimized geometry)
data_Ga2HgTe
_chemical_formula_sum 'Ga2 Hg1 Te1'
_space_group_name_H-M_alt 'P 1'
_space_group_IT_number 1
_space_group_name_Hall 'P 1'
_cell_length_a 5.281
_cell_length_b 5.281
_cell_length_c 5.281
_cell_angle_alpha 60.00
_cell_angle_beta 60.00
_cell_angle_gamma 60.00
loop_
_atom_site_label
_atom_site_type_symbol
_atom_site_fract_x
_atom_site_fract_y
_atom_site_fract_z
Ga1 Ga 0.250 0.250 0.250
Ga2 Ga 0.750 0.750 0.750
Hg1 Hg 0.000 0.000 0.000
Te1 Te 0.500 0.500 0.500
# - Offset from the most stable computed form: 0.067 eV/atom
# - Uncorrected formation energy: 0.01 eV per atom
# - DFT total energy: -9.4 eV/cell
# - D(E_F): 0.21 states/eV per atom



2.
# RbAlSe2 (PBE-GGA, optimized geometry)
data_RbAlSe2
_chemical_formula_sum 'Rb4 Al4 Se8'
_space_group_name_H-M_alt 'P 1'
_space_group_IT_number 1
_space_group_name_Hall 'P 1'
_cell_length_a 6.717
_cell_length_b 5.471
_cell_length_c 15.658
_cell_angle_alpha 90.00
_cell_angle_beta 114.24
_cell_angle_gamma 90.00
loop_
_atom_site_label
_atom_site_type_symbol
_atom_site_fract_x
_atom_site_fract_y
_atom_site_fract_z
Rb1 Rb 0.211 0.025 0.213
Rb2 Rb 0.211 0.475 0.713
Rb3 Rb 0.789 0.525 0.287
Rb4 Rb 0.789 0.975 0.787
Al1 Al 0.415 0.219 0.499
Al2 Al 0.415 0.281 0.999
Al3 Al 0.585 0.719 0.001
Al4 Al 0.585 0.781 0.501
Se1 Se 0.036 0.214 0.490
Se2 Se 0.036 0.286 0.990
Se3 Se 0.371 0.508 0.369
Se4 Se 0.371 0.992 0.869
Se5 Se 0.629 0.008 0.131
Se6 Se 0.629 0.492 0.631
Se7 Se 0.964 0.714 0.010
Se8 Se 0.964 0.786 0.510
# - Uncorrected formation energy: -0.86 eV per atom
# - DFT total energy: -60.5 eV/cell
# - D(E_F): 0.00 states/eV per atom



3.
# La2PrGe6 (PBE-GGA, optimized geometry)
data_La2PrGe6
_chemical_formula_sum 'La2 Pr1 Ge6'
_space_group_name_H-M_alt 'P 1'
_space_group_IT_number 1
_space_group_name_Hall 'P 1'
_cell_length_a 7.690
_cell_length_b 7.690
_cell_length_c 4.224
_cell_angle_alpha 90.00
_cell_angle_beta 90.00
_cell_angle_gamma 120.00
loop_
_atom_site_label
_atom_site_type_symbol
_atom_site_fract_x
_atom_site_fract_y
_atom_site_fract_z
La1 La 0.333 0.667 0.000
La2 La 0.667 0.333 0.000
Pr1 Pr 0.000 0.000 0.000
Ge1 Ge 0.000 0.332 0.500
Ge2 Ge 0.000 0.668 0.500
Ge3 Ge 0.332 0.000 0.500
Ge4 Ge 0.332 0.332 0.500
Ge5 Ge 0.668 0.000 0.500
Ge6 Ge 0.668 0.668 0.500
# - DFT total energy: -48.1 eV/cell
# - D(E_F): 0.53 states/eV per atom



4.
# Nb8Mo3W2 (PBE-GGA, optimized geometry)
data_Nb8Mo3W2
_chemical_formula_sum 'Nb8 Mo3 W2'
_space_group_name_H-M_alt 'P 1'
_space_group_IT_number 1
_space_group_name_Hall 'P 1'
_cell_length_a 7.748
_cell_length_b 7.748
_cell_length_c 4.925
_cell_angle_alpha 97.35
_cell_angle_beta 97.35
_cell_angle_gamma 58.95
loop_
_atom_site_label
_atom_site_type_symbol
_atom_site_fract_x
_atom_site_fract_y
_atom_site_fract_z
Nb1 Nb 0.107 0.655 0.991
Nb2 Nb 0.112 0.112 0.472
Nb3 Nb 0.338 0.338 0.450
Nb4 Nb 0.345 0.893 0.009
Nb5 Nb 0.655 0.107 0.991
Nb6 Nb 0.662 0.662 0.550
Nb7 Nb 0.888 0.888 0.528
Nb8 Nb 0.893 0.345 0.009
Mo1 Mo 0.286 0.714 0.500
Mo2 Mo 0.500 0.500 0.000
Mo3 Mo 0.714 0.286 0.500
W1 W 0.260 0.260 0.928
W2 W 0.740 0.740 0.072
# - DFT total energy: -132.1 eV/cell
# - D(E_F): 1.01 states/eV per atom



5.
# LiAgBiF6 (PBE-GGA, optimized geometry)
data_LiAgBiF6
_chemical_formula_sum 'Li2 Ag2 Bi2 F12'
_space_group_name_H-M_alt 'P 1'
_space_group_IT_number 1
_space_group_name_Hall 'P 1'
_cell_length_a 5.600
_cell_length_b 5.600
_cell_length_c 9.946
_cell_angle_alpha 90.00
_cell_angle_beta 90.00
_cell_angle_gamma 120.00
loop_
_atom_site_label
_atom_site_type_symbol
_atom_site_fract_x
_atom_site_fract_y
_atom_site_fract_z
Li1 Li 0.333 0.667 0.250
Li2 Li 0.667 0.333 0.750
Ag1 Ag 0.000 0.000 0.000
Ag2 Ag 0.000 0.000 0.500
Bi1 Bi 0.333 0.667 0.750
Bi2 Bi 0.667 0.333 0.250
F1 F 0.015 0.353 0.134
F2 F 0.015 0.663 0.366
F3 F 0.337 0.353 0.366
F4 F 0.337 0.985 0.134
F5 F 0.353 0.015 0.634
F6 F 0.353 0.337 0.866
F7 F 0.647 0.663 0.134
F8 F 0.647 0.985 0.366
F9 F 0.663 0.015 0.866
F10 F 0.663 0.647 0.634
F11 F 0.985 0.337 0.634
F12 F 0.985 0.647 0.866
# - Uncorrected formation energy: -2.07 eV per atom
# - DFT total energy: -77.0 eV/cell
# - D(E_F): 0.44 states/eV per atom



6.
# ThTlBi2 (PBE-GGA, optimized geometry)
data_ThTlBi2
_chemical_formula_sum 'Th1 Tl1 Bi2'
_space_group_name_H-M_alt 'P 1'
_space_group_IT_number 1
_space_group_name_Hall 'P 1'
_cell_length_a 4.292
_cell_length_b 4.292
_cell_length_c 6.849
_cell_angle_alpha 90.00
_cell_angle_beta 90.00
_cell_angle_gamma 90.00
loop_
_atom_site_label
_atom_site_type_symbol
_atom_site_fract_x
_atom_site_fract_y
_atom_site_fract_z
Th1 Th 0.000 0.000 0.000
Tl1 Tl 0.000 0.000 0.500
Bi1 Bi 0.500 0.500 0.234
Bi2 Bi 0.500 0.500 0.766
# - Offset from the most stable computed form: 0.000 eV/atom
# - DFT total energy: -18.9 eV/cell
# - D(E_F): 0.59 states/eV per atom



7.
# YThFe10 (PBE-GGA, optimized geometry)
data_YThFe10
_chemical_formula_sum 'Y1 Th1 Fe10'
_space_group_name_H-M_alt 'P 1'
_space_group_IT_number 1
_space_group_name_Hall 'P 1'
_cell_length_a 3.985
_cell_length_b 5.044
_cell_length_c 8.724
_cell_angle_alpha 90.00
_cell_angle_beta 90.00
_cell_angle_gamma 90.00
loop_
_atom_site_label
_atom_site_type_symbol
_atom_site_fract_x
_atom_site_fract_y
_atom_site_fract_z
Y1 Y 0.000 0.000 0.000
Th1 Th 0.000 0.500 0.500
Fe1 Fe 0.000 0.000 0.332
Fe2 Fe 0.000 0.000 0.668
Fe3 Fe 0.000 0.500 0.165
Fe4 Fe 0.000 0.500 0.835
Fe5 Fe 0.500 0.000 0.500
Fe6 Fe 0.500 0.249 0.247
Fe7 Fe 0.500 0.249 0.753
Fe8 Fe 0.500 0.500 0.000
Fe9 Fe 0.500 0.751 0.247
Fe10 Fe 0.500 0.751 0.753
# - DFT total energy: -99.1 eV/cell
# - D(E_F): 1.19 states/eV per atom



8.
# Ca3Zn4Ni2 (PBE-GGA, optimized geometry)
data_Ca3Zn4Ni2
_chemical_formula_sum 'Ca3 Zn4 Ni2'
_space_group_name_H-M_alt 'P 1'
_space_group_IT_number 1
_space_group_name_Hall 'P 1'
_cell_length_a 5.607
_cell_length_b 5.607
_cell_length_c 8.340
_cell_angle_alpha 104.31
_cell_angle_beta 104.31
_cell_angle_gamma 46.84
loop_
_atom_site_label
_atom_site_type_symbol
_atom_site_fract_x
_atom_site_fract_y
_atom_site_fract_z
Ca1 Ca 0.000 0.000 0.000
Ca2 Ca 0.373 0.373 0.310
Ca3 Ca 0.627 0.627 0.690
Zn1 Zn 0.104 0.104 0.415
Zn2 Zn 0.280 0.280 0.921
Zn3 Zn 0.720 0.720 0.079
Zn4 Zn 0.896 0.896 0.585
Ni1 Ni 0.318 0.318 0.646
Ni2 Ni 0.682 0.682 0.354
# - DFT total energy: -24.7 eV/cell
# - D(E_F): 0.52 states/eV per atom